VBPN2, optimized geometry, DFT PBE; E = -0.4634 Ry/atom; formation energy without anion corrections = 1267 meV per atom; space-group type = P4/mmm; total magnetization = 0.00 μB per formula unit; DOS at the Fermi energy = 0.936 states/eV/atom
1.0
3.184 0.000 0.000
0.000 3.184 0.000
0.000 0.000 6.674
V B P N
1 1 1 2
direct
0.000 0.000 0.000 V
0.500 0.500 0.000 B
0.000 0.000 0.500 P
0.000 0.500 0.500 N
0.500 0.000 0.500 N

---

CsNiHg2Te, optimized geometry, DFT PBE; E = -0.1700 Ry/atom; formation energy without anion corrections = -237 meV per atom; space-group type = P4/mmm; total magnetization = 0.01 μB per formula unit; DOS at the Fermi energy = 0.877 states/eV/atom
1.0
5.335 0.000 0.000
0.000 5.335 0.000
0.000 0.000 5.289
Cs Ni Hg Te
1 1 2 1
direct
0.000 0.000 0.000 Cs
0.500 0.500 0.500 Ni
0.000 0.500 0.500 Hg
0.500 0.000 0.500 Hg
0.500 0.500 0.000 Te